# 1
First-principles (GGA-PBE) data for LiTePb2Se4 after structural relaxation, as listed in the Alexandria database.

Output
energy relative to the elements, uncorrected	-3.656	eV per formula unit
density	6610	kg/m3
D(E_F)	7.7	states/eV/cell

Cell lengths 11.6927, 11.7079, 8.4781 Å; angles 90.00, 131.52, 90.00 degrees
Closest atoms and distances in Å follow each position.
Space group C2/c (No. 15)
Symmetry-distinct sites (fractional):
Li 0.0000 0.0000 0.0000 (multiplicity 4)  4 Se 2.77-2.79
Te 0.2500 0.2500 0.0000 (multiplicity 4)  4 Se 2.79-2.83
Pb 0.0000 0.5000 0.0000 (multiplicity 4)  6 Se 3.08-3.14
Pb 0.2500 0.2500 0.5000 (multiplicity 4)  6 Se 3.04-3.07
Se 0.0215 0.2376 0.0201 (multiplicity 8)  1 Li 2.79, 1 Te 2.79, 3 Pb 3.05-3.08
Se 0.2403 0.0089 0.0074 (multiplicity 8)  1 Li 2.77, 1 Te 2.83, 2 Pb 3.04-3.08

***

# 2
First-principles (GGA-PBE) data for ReSe2NCl after structural relaxation, as listed in the Alexandria database.

Output
polymorph energy (0 for the lowest one)	0.0000	eV/atom
energy relative to the elements, uncorrected	2.077	eV per formula unit
density	6871	kg/m3
D(E_F)	5.0	states/eV/cell

Cell lengths 5.0215, 5.0215, 3.7724 Å; angles 90.00, 90.00, 90.00 degrees
Closest atoms and distances in Å follow each position.
Space group P4/mmm (No. 123)
Symmetry-distinct sites (fractional):
Re 0.0000 0.0000 0.0000 (multiplicity 1)  2 N 1.89
Se 0.0000 0.5000 0.0000 (multiplicity 2)  2 Re 2.51
N 0.0000 0.0000 0.5000 (multiplicity 1)  2 Re 1.89
Cl 0.5000 0.5000 0.5000 (multiplicity 1)  8 Se 3.14

***

# 3
First-principles (GGA-PBE) data for Tb2Pu2Ru3 after structural relaxation, as listed in the Alexandria database.

Output
polymorph energy (0 for the lowest one)	0.0022	eV/atom
density	12024	kg/m3
D(E_F)	14.8	states/eV/cell
ΔH_f (0 K)	-1.5	eV/f.u.

Cell lengths 3.3992, 7.0209, 7.3047 Å; angles 106.89, 103.32, 103.97 degrees
Closest atoms and distances in Å follow each position.
Space group P-1 (No. 2)
Symmetry-distinct sites (fractional):
Tb 0.1804 0.0831 0.2813 (multiplicity 2)  6 Ru 2.94-3.19
Pu 0.4051 0.5839 0.2300 (multiplicity 2)  3 Ru 2.54-2.78
Ru 0.0000 0.5000 0.5000 (multiplicity 1)  4 Pu 2.77-2.78
Ru 0.3710 0.7660 0.9756 (multiplicity 2)  1 Pu 2.54

***

# 4
First-principles (GGA-PBE) data for Zr3AlSe after structural relaxation, as listed in the Alexandria database.

Output
polymorph energy (0 for the lowest one)	0.0000	eV/atom
energy relative to the elements, uncorrected	-0.142	eV per formula unit
density	5165	kg/m3
D(E_F)	9.2	states/eV/cell

Cell lengths 4.9604, 4.9604, 4.9604 Å; angles 90.00, 90.00, 90.00 degrees
Closest atoms and distances in Å follow each position.
Space group Pm-3m (No. 221)
Symmetry-distinct sites (fractional):
Zr 0.0000 0.0000 0.5000 (multiplicity 3)  2 Se 2.48
Al 0.5000 0.5000 0.5000 (multiplicity 1)  12 Zr 3.51
Se 0.0000 0.0000 0.0000 (multiplicity 1)  6 Zr 2.48

***

# 5
First-principles (GGA-PBE) data for HfAlRh3 after structural relaxation, as listed in the Alexandria database.

Output
polymorph energy (0 for the lowest one)	0.0000	eV/atom
density	9991	kg/m3
D(E_F)	0.0	states/eV/cell
ΔH_f (0 K)	-0.9	eV/f.u.

Cell lengths 4.4047, 4.4047, 4.4047 Å; angles 90.00, 90.00, 90.00 degrees
Closest atoms and distances in Å follow each position.
Space group Pm-3m (No. 221)
Symmetry-distinct sites (fractional):
Hf 0.0000 0.0000 0.0000 (multiplicity 1)  12 Rh 3.11
Al 0.5000 0.5000 0.5000 (multiplicity 1)  6 Rh 2.20
Rh 0.0000 0.5000 0.5000 (multiplicity 3)  2 Al 2.20

***

# 6
First-principles (GGA-PBE) data for NaErGa2 after structural relaxation, as listed in the Alexandria database.

Output
polymorph energy (0 for the lowest one)	0.0000	eV/atom
density	6242	kg/m3
D(E_F)	1.9	states/eV/cell
ΔH_f (0 K)	-1.2	eV/f.u.

Cell lengths 4.9174, 4.9174, 3.6272 Å; angles 90.00, 90.00, 90.00 degrees
Closest atoms and distances in Å follow each position.
Space group P4/mmm (No. 123)
Symmetry-distinct sites (fractional):
Na 0.0000 0.0000 0.0000 (multiplicity 1)  8 Ga 3.06
Er 0.5000 0.5000 0.0000 (multiplicity 1)  8 Ga 3.06
Ga 0.0000 0.5000 0.5000 (multiplicity 2)  4 Na 3.06, 4 Er 3.06

***

# 7
First-principles (GGA-PBE) data for LaGa2Bi2 after structural relaxation, as listed in the Alexandria database.

Output
polymorph energy (0 for the lowest one)	0.0341	eV/atom
density	7731	kg/m3
D(E_F)	5.6	states/eV/cell
ΔH_f (0 K)	-1.4	eV/f.u.

Cell lengths 4.3203, 4.3203, 16.0253 Å; angles 90.00, 90.00, 90.00 degrees
Closest atoms and distances in Å follow each position.
Space group I4/mmm (No. 139)
Symmetry-distinct sites (fractional):
La 0.0000 0.0000 0.0000 (multiplicity 2)  8 Bi 3.46
Ga 0.0000 0.5000 0.2500 (multiplicity 4)  4 Ga 3.05, 4 Bi 3.22
Bi 0.0000 0.0000 0.3993 (multiplicity 4)  4 Ga 3.22, 1 Bi 3.23, 4 La 3.46

***

Q: Which value of D(E_F) does entry 5 give?
A: 0.0 states/eV/cell

***

Q: Which of these has the lowest density?
A: Zr3AlSe

***

What did the sixth record say?
First-principles (GGA-PBE) data for NaErGa2 after structural relaxation, as listed in the Alexandria database.

Output
polymorph energy (0 for the lowest one)	0.0000	eV/atom
density	6242	kg/m3
D(E_F)	1.9	states/eV/cell
ΔH_f (0 K)	-1.2	eV/f.u.

Cell lengths 4.9174, 4.9174, 3.6272 Å; angles 90.00, 90.00, 90.00 degrees
Closest atoms and distances in Å follow each position.
Space group P4/mmm (No. 123)
Symmetry-distinct sites (fractional):
Na 0.0000 0.0000 0.0000 (multiplicity 1)  8 Ga 3.06
Er 0.5000 0.5000 0.0000 (multiplicity 1)  8 Ga 3.06
Ga 0.0000 0.5000 0.5000 (multiplicity 2)  4 Na 3.06, 4 Er 3.06